The following is a PBE with a Hubbard U calculation of La5CoAu2O after structural relaxation, from the Alexandria database.

Output
DFT total energy   -5.504 eV per atom

a b c (Å): 4.058 18.082 13.445
angles (deg): 90.00 90.00 90.00
Space group Cmc2_1 (No. 36)
One atom of each set of equivalent atoms:
La (0.000, 0.002, 0.000)
La (0.000, 0.148, 0.235)
La (0.000, 0.193, 0.608)
La (0.000, 0.212, 0.893)
La (0.000, 0.452, 0.239)
Co (0.000, 0.291, 0.250)
Au (0.000, 0.371, 0.551)
Au (0.000, 0.386, 0.917)
O (0.000, 0.056, 0.655)